KRb2InI6 | GGA-PBEsol | optimized geometry

a b c (Å): 8.686 8.686 8.686
angles (deg): 60.00 60.00 60.00
Element x y z (fractional)
K  0.000  0.000  0.000
Rb  0.250  0.250  0.250
Rb  0.750  0.750  0.750
In  0.500  0.500  0.500
I  0.265  0.265  0.735
I  0.265  0.735  0.265
I  0.265  0.735  0.735
I  0.735  0.265  0.265
I  0.735  0.265  0.735
I  0.735  0.735  0.265

Raw formation energy   -1.01 eV/atom
Calculated total energy   -26.8 eV for the cell shown